Entry 1:
{"formula": "TlCrPd2", "functional": "PBE", "state": "relaxed", "relative_energy_ev_per_atom": 0.048, "total_magnetization_mub_per_atom": 0.859, "ef_ev_per_atom": 0.035, "cell": [[3.265, 0.000, 0.000], [0.000, 3.265, 0.000], [0.000, 0.000, 6.475]], "species": ["Tl", "Cr", "Pd", "Pd"], "fractional_positions": [[0.000, 0.000, 0.000], [0.000, 0.000, 0.500], [0.500, 0.500, 0.280], [0.500, 0.500, 0.720]]}

Entry 2:
{"formula": "TlCr3Pd12", "functional": "PBE", "state": "relaxed", "total_magnetization_mub_per_atom": 0.515, "ef_ev_per_atom": -0.103, "cell": [[3.950, 0.000, 0.000], [0.000, 3.950, 0.000], [0.000, 0.000, 15.829]], "species": ["Tl", "Cr", "Cr", "Cr", "Pd", "Pd", "Pd", "Pd", "Pd", "Pd", "Pd", "Pd", "Pd", "Pd", "Pd", "Pd"], "fractional_positions": [[0.000, 0.000, 0.000], [0.000, 0.000, 0.257], [0.000, 0.000, 0.500], [0.000, 0.000, 0.743], [0.000, 0.500, 0.136], [0.000, 0.500, 0.378], [0.000, 0.500, 0.622], [0.000, 0.500, 0.864], [0.500, 0.000, 0.136], [0.500, 0.000, 0.378], [0.500, 0.000, 0.622], [0.500, 0.000, 0.864], [0.500, 0.500, 0.000], [0.500, 0.500, 0.257], [0.500, 0.500, 0.500], [0.500, 0.500, 0.743]]}

Entry 3:
{"formula": "TlCrPd2", "functional": "PBE", "state": "relaxed", "relative_energy_ev_per_atom": 0.292, "total_magnetization_mub_per_atom": 0.982, "ef_ev_per_atom": 0.280, "cell": [[-3.648, 3.648, 2.826], [3.648, -3.648, 2.826], [3.648, 3.648, -2.826]], "species": ["Tl", "Tl", "Cr", "Cr", "Pd", "Pd", "Pd", "Pd"], "fractional_positions": [[0.000, 0.000, 0.000], [0.750, 0.250, 0.500], [0.250, 0.750, 0.500], [0.500, 0.500, 0.000], [0.147, 0.625, 0.022], [0.375, 0.397, 0.522], [0.603, 0.125, 0.978], [0.875, 0.853, 0.478]]}

Entry 4:
{"formula": "TlCrPd6", "functional": "PBE", "state": "relaxed", "total_magnetization_mub_per_atom": 0.312, "ef_ev_per_atom": -0.136, "cell": [[3.991, 0.000, 0.000], [0.000, 3.991, 0.000], [0.000, 0.000, 8.011]], "species": ["Tl", "Cr", "Pd", "Pd", "Pd", "Pd", "Pd", "Pd"], "fractional_positions": [[0.000, 0.000, 0.000], [0.000, 0.000, 0.500], [0.000, 0.500, 0.265], [0.000, 0.500, 0.735], [0.500, 0.000, 0.265], [0.500, 0.000, 0.735], [0.500, 0.500, 0.000], [0.500, 0.500, 0.500]]}

Entry 5:
{"formula": "Tl3CrPd", "functional": "PBE", "state": "relaxed", "relative_energy_ev_per_atom": 0.000, "total_magnetization_mub_per_atom": 0.981, "ef_ev_per_atom": 0.514, "cell": [[5.323, 0.000, 0.000], [0.000, 5.323, 0.000], [0.000, 0.000, 5.323]], "species": ["Tl", "Tl", "Tl", "Cr", "Pd"], "fractional_positions": [[0.000, 0.000, 0.500], [0.000, 0.500, 0.000], [0.500, 0.000, 0.000], [0.500, 0.500, 0.500], [0.000, 0.000, 0.000]]}

Entry 6:
{"formula": "Tl2CrPd", "functional": "PBE", "state": "relaxed", "relative_energy_ev_per_atom": 0.000, "total_magnetization_mub_per_atom": 0.994, "ef_ev_per_atom": 0.248, "cell": [[0.000, 3.412, 3.412], [3.412, 0.000, 3.412], [3.412, 3.412, 0.000]], "species": ["Tl", "Tl", "Cr", "Pd"], "fractional_positions": [[0.250, 0.250, 0.250], [0.750, 0.750, 0.750], [0.000, 0.000, 0.000], [0.500, 0.500, 0.500]]}

Entry 7:
{"formula": "TlCrPd14", "functional": "PBE", "state": "relaxed", "total_magnetization_mub_per_atom": 0.135, "ef_ev_per_atom": -0.051, "cell": [[5.657, 0.000, 0.000], [0.000, 5.657, 0.000], [0.000, 0.000, 7.844]], "species": ["Tl", "Cr", "Pd", "Pd", "Pd", "Pd", "Pd", "Pd", "Pd", "Pd", "Pd", "Pd", "Pd", "Pd", "Pd", "Pd"], "fractional_positions": [[0.000, 0.000, 0.000], [0.500, 0.500, 0.000], [0.000, 0.000, 0.500], [0.000, 0.500, 0.000], [0.000, 0.500, 0.500], [0.255, 0.255, 0.250], [0.255, 0.255, 0.750], [0.255, 0.745, 0.250], [0.255, 0.745, 0.750], [0.500, 0.000, 0.000], [0.500, 0.000, 0.500], [0.500, 0.500, 0.500], [0.745, 0.255, 0.250], [0.745, 0.255, 0.750], [0.745, 0.745, 0.250], [0.745, 0.745, 0.750]]}

Entry 8:
{"formula": "TlCrPd2", "functional": "PBE", "state": "relaxed", "relative_energy_ev_per_atom": 0.000, "total_magnetization_mub_per_atom": 1.105, "ef_ev_per_atom": -0.012, "cell": [[4.210, 0.000, 0.000], [0.000, 4.210, 0.000], [0.000, 0.000, 3.885]], "species": ["Tl", "Cr", "Pd", "Pd"], "fractional_positions": [[0.000, 0.000, 0.000], [0.500, 0.500, 0.000], [0.000, 0.500, 0.500], [0.500, 0.000, 0.500]]}

Entry 9:
{"formula": "Tl2CrPd", "functional": "PBE", "state": "relaxed", "relative_energy_ev_per_atom": 0.188, "total_magnetization_mub_per_atom": 1.067, "ef_ev_per_atom": 0.436, "cell": [[-2.156, 2.156, 9.814], [2.156, -2.156, 9.814], [2.156, 2.156, -9.814]], "species": ["Tl", "Tl", "Tl", "Tl", "Cr", "Cr", "Pd", "Pd"], "fractional_positions": [[0.120, 0.625, 0.995], [0.375, 0.370, 0.495], [0.630, 0.125, 0.005], [0.875, 0.880, 0.505], [0.250, 0.750, 0.500], [0.500, 0.500, 0.000], [0.000, 0.000, 0.000], [0.750, 0.250, 0.500]]}

Entry 10:
{"formula": "TlCrPd3", "functional": "PBE", "state": "relaxed", "relative_energy_ev_per_atom": 0.000, "total_magnetization_mub_per_atom": 0.001, "ef_ev_per_atom": 0.713, "cell": [[4.657, 0.000, 0.000], [0.000, 4.657, 0.000], [0.000, 0.000, 4.657]], "species": ["Tl", "Cr", "Pd", "Pd", "Pd"], "fractional_positions": [[0.000, 0.000, 0.000], [0.500, 0.500, 0.500], [0.000, 0.500, 0.500], [0.500, 0.000, 0.500], [0.500, 0.500, 0.000]]}

Entry 11:
{"formula": "Tl2CrPd9", "functional": "PBE", "state": "relaxed", "total_magnetization_mub_per_atom": 0.211, "ef_ev_per_atom": -0.153, "cell": [[4.017, 0.000, 0.000], [0.000, 4.017, 0.000], [0.000, 0.000, 12.120]], "species": ["Tl", "Tl", "Cr", "Pd", "Pd", "Pd", "Pd", "Pd", "Pd", "Pd", "Pd", "Pd"], "fractional_positions": [[0.000, 0.000, 0.170], [0.000, 0.000, 0.830], [0.000, 0.000, 0.500], [0.000, 0.500, 0.000], [0.000, 0.500, 0.346], [0.000, 0.500, 0.654], [0.500, 0.000, 0.000], [0.500, 0.000, 0.346], [0.500, 0.000, 0.654], [0.500, 0.500, 0.174], [0.500, 0.500, 0.500], [0.500, 0.500, 0.826]]}

Entry 12:
{"formula": "Tl3CrPd12", "functional": "PBE", "state": "relaxed", "total_magnetization_mub_per_atom": 0.160, "ef_ev_per_atom": -0.161, "cell": [[4.026, 0.000, 0.000], [0.000, 4.026, 0.000], [0.000, 0.000, 16.260]], "species": ["Tl", "Tl", "Tl", "Cr", "Pd", "Pd", "Pd", "Pd", "Pd", "Pd", "Pd", "Pd", "Pd", "Pd", "Pd", "Pd"], "fractional_positions": [[0.000, 0.000, 0.000], [0.000, 0.000, 0.255], [0.000, 0.000, 0.745], [0.000, 0.000, 0.500], [0.000, 0.500, 0.128], [0.000, 0.500, 0.386], [0.000, 0.500, 0.614], [0.000, 0.500, 0.872], [0.500, 0.000, 0.128], [0.500, 0.000, 0.386], [0.500, 0.000, 0.614], [0.500, 0.000, 0.872], [0.500, 0.500, 0.000], [0.500, 0.500, 0.258], [0.500, 0.500, 0.500], [0.500, 0.500, 0.742]]}

Entry 13:
{"formula": "TlCrPd2", "functional": "PBE", "state": "relaxed", "relative_energy_ev_per_atom": 0.368, "total_magnetization_mub_per_atom": 0.113, "ef_ev_per_atom": 0.356, "cell": [[0.000, 3.209, 3.209], [3.209, 0.000, 3.209], [3.209, 3.209, 0.000]], "species": ["Tl", "Cr", "Pd", "Pd"], "fractional_positions": [[0.000, 0.000, 0.000], [0.500, 0.500, 0.500], [0.250, 0.250, 0.250], [0.750, 0.750, 0.750]]}

Entry 14:
{"formula": "TlVCrPd2", "functional": "PBE", "state": "relaxed", "total_magnetization_mub_per_atom": 0.202, "ef_ev_per_atom": 1.374, "cell": [[4.569, 0.000, 0.000], [0.000, 4.569, 0.000], [0.000, 0.000, 5.097]], "species": ["Tl", "V", "Cr", "Pd", "Pd"], "fractional_positions": [[0.000, 0.000, 0.000], [0.000, 0.000, 0.500], [0.500, 0.500, 0.000], [0.000, 0.500, 0.500], [0.500, 0.000, 0.500]]}

Entry 15:
{"formula": "UCrPd6", "functional": "PBE", "state": "relaxed", "total_magnetization_mub_per_atom": 0.599, "ef_ev_per_atom": -0.334, "cell": [[4.059, 0.000, 0.000], [0.000, 4.059, 0.000], [0.000, 0.000, 7.941]], "species": ["U", "Cr", "Pd", "Pd", "Pd", "Pd", "Pd", "Pd"], "fractional_positions": [[0.000, 0.000, 0.000], [0.000, 0.000, 0.500], [0.000, 0.500, 0.254], [0.000, 0.500, 0.746], [0.500, 0.000, 0.254], [0.500, 0.000, 0.746], [0.500, 0.500, 0.000], [0.500, 0.500, 0.500]]}

Entry 16:
{"formula": "UCrPd14", "functional": "PBE", "state": "relaxed", "total_magnetization_mub_per_atom": 0.196, "ef_ev_per_atom": -0.213, "cell": [[5.708, 0.000, 0.000], [0.000, 5.708, 0.000], [0.000, 0.000, 7.752]], "species": ["U", "Cr", "Pd", "Pd", "Pd", "Pd", "Pd", "Pd", "Pd", "Pd", "Pd", "Pd", "Pd", "Pd", "Pd", "Pd"], "fractional_positions": [[0.000, 0.000, 0.000], [0.500, 0.500, 0.000], [0.000, 0.000, 0.500], [0.000, 0.500, 0.000], [0.000, 0.500, 0.500], [0.251, 0.251, 0.246], [0.251, 0.251, 0.754], [0.251, 0.749, 0.246], [0.251, 0.749, 0.754], [0.500, 0.000, 0.000], [0.500, 0.000, 0.500], [0.500, 0.500, 0.500], [0.749, 0.251, 0.246], [0.749, 0.251, 0.754], [0.749, 0.749, 0.246], [0.749, 0.749, 0.754]]}

Entry 17:
{"formula": "V2CrPd7", "functional": "PBE", "state": "relaxed", "total_magnetization_mub_per_atom": 0.543, "ef_ev_per_atom": 0.256, "cell": [[4.137, -7.492, 0.000], [4.137, 7.492, 0.000], [0.000, 0.000, 2.731]], "species": ["V", "V", "Cr", "Pd", "Pd", "Pd", "Pd", "Pd", "Pd", "Pd"], "fractional_positions": [[0.166, 0.834, 0.000], [0.834, 0.166, 0.000], [0.500, 0.500, 0.500], [0.000, 0.000, 0.000], [0.170, 0.369, 0.000], [0.305, 0.695, 0.500], [0.369, 0.170, 0.000], [0.631, 0.830, 0.000], [0.695, 0.305, 0.500], [0.830, 0.631, 0.000]]}

Entry 18:
{"formula": "VCrPd2", "functional": "PBE", "state": "relaxed", "total_magnetization_mub_per_atom": 0.401, "ef_ev_per_atom": 0.341, "cell": [[-3.471, 3.471, 2.654], [3.471, -3.471, 2.654], [3.471, 3.471, -2.654]], "species": ["V", "V", "Cr", "Cr", "Pd", "Pd", "Pd", "Pd"], "fractional_positions": [[0.000, 0.000, 0.000], [0.750, 0.250, 0.500], [0.250, 0.750, 0.500], [0.500, 0.500, 0.000], [0.115, 0.625, 0.990], [0.375, 0.365, 0.490], [0.635, 0.125, 0.010], [0.875, 0.885, 0.510]]}

Entry 19:
{"formula": "VCrPd2", "functional": "PBE", "state": "relaxed", "total_magnetization_mub_per_atom": 1.488, "ef_ev_per_atom": 0.063, "cell": [[0.000, 3.115, 3.115], [3.115, 0.000, 3.115], [3.115, 3.115, 0.000]], "species": ["V", "Cr", "Pd", "Pd"], "fractional_positions": [[0.000, 0.000, 0.000], [0.500, 0.500, 0.500], [0.250, 0.250, 0.250], [0.750, 0.750, 0.750]]}

Entry 20:
{"formula": "VCrPd", "functional": "PBE", "state": "relaxed", "relative_energy_ev_per_atom": 0.303, "total_magnetization_mub_per_atom": 0.017, "ef_ev_per_atom": 0.168, "cell": [[4.240, 0.000, 0.000], [-2.120, 3.672, 0.000], [0.000, 0.000, 2.594]], "species": ["V", "Cr", "Pd"], "fractional_positions": [[0.000, 0.000, 0.000], [0.333, 0.667, 0.121], [0.667, 0.333, 0.567]]}